# 1
# BaMnBe2Cu (GGA-PBE, relaxed)
# Total magnetization = 2.6 μB per cell
# ΔH_f (0 K) = 597 meV/atom
data_BaMnBe2Cu
_chemical_formula_sum 'Ba1 Mn1 Be2 Cu1'
_symmetry_space_group_name_H-M 'P 4/m m m'
_symmetry_Int_Tables_number 123
_symmetry_space_group_name_Hall '-P 4 2'
_cell_length_a 4.514
_cell_length_b 4.514
_cell_length_c 4.905
_cell_angle_alpha 90.00
_cell_angle_beta 90.00
_cell_angle_gamma 90.00
loop_
_atom_site_label
_atom_site_type_symbol
_atom_site_fract_x
_atom_site_fract_y
_atom_site_fract_z
Ba1 Ba 0.000 0.000 0.000
Mn1 Mn 0.500 0.500 0.500
Be1 Be 0.000 0.500 0.500
Cu1 Cu 0.500 0.500 0.000

# 2
# Th8Te3Ir3C (GGA-PBE, relaxed)
# Uncorrected formation energy = -0.816 eV per atom
# Total magnetization = 0.0 μB per cell
data_Th8Te3Ir3C
_chemical_formula_sum 'Th16 Te6 Ir6 C2'
_symmetry_space_group_name_H-M 'C 1 2/m 1'
_symmetry_Int_Tables_number 12
_cell_length_a 14.400
_cell_length_b 8.310
_cell_length_c 9.010
_cell_angle_alpha 90.00
_cell_angle_beta 122.23
_cell_angle_gamma 90.00
loop_
_symmetry_equiv_pos_as_xyz
'x,y,z'
'-x,-y,-z'
'-x,y,-z'
'x,-y,z'
'x+1/2,y+1/2,z'
'-x+1/2,-y+1/2,-z'
'-x+1/2,y+1/2,-z'
'x+1/2,-y+1/2,z'
loop_
_atom_site_label
_atom_site_type_symbol
_atom_site_fract_x
_atom_site_fract_y
_atom_site_fract_z
Th1 Th 0.014 0.232 0.309
Th2 Th 0.218 0.000 0.691
Th3 Th 0.233 0.500 0.700
Te1 Te 0.000 0.000 0.000
Te2 Te 0.250 0.250 0.000
Ir1 Ir 0.000 0.500 0.500
Ir2 Ir 0.250 0.250 0.500
C1 C 0.000 0.000 0.500

# 3
# CeNdSmCd (GGA-PBE, relaxed)
# Total magnetization = 7.9 μB per cell
# ΔH_f (0 K) = 49 meV/atom
data_CeNdSmCd
_chemical_formula_sum 'Ce4 Nd4 Sm4 Cd4'
_symmetry_space_group_name_H-M 'F -4 3 m'
_symmetry_Int_Tables_number 216
_symmetry_space_group_name_Hall 'F -4 2 3'
_cell_length_a 7.750
_cell_length_b 7.750
_cell_length_c 7.750
_cell_angle_alpha 90.00
_cell_angle_beta 90.00
_cell_angle_gamma 90.00
loop_
_atom_site_label
_atom_site_type_symbol
_atom_site_fract_x
_atom_site_fract_y
_atom_site_fract_z
Ce1 Ce 0.000 0.000 0.000
Nd1 Nd 0.250 0.250 0.750
Sm1 Sm 0.250 0.250 0.250
Cd1 Cd 0.000 0.000 0.500

# 4
# Np4MnGa12 (GGA-PBE, relaxed)
# Total magnetization = 35.6 μB per cell
# ΔH_f (0 K) = -201 meV/atom
data_Np4MnGa12
_chemical_formula_sum 'Np8 Mn2 Ga24'
_symmetry_space_group_name_H-M 'I m -3 m'
_symmetry_Int_Tables_number 229
_symmetry_space_group_name_Hall '-I 4 2 3'
_cell_length_a 8.602
_cell_length_b 8.602
_cell_length_c 8.602
_cell_angle_alpha 90.00
_cell_angle_beta 90.00
_cell_angle_gamma 90.00
loop_
_atom_site_label
_atom_site_type_symbol
_atom_site_fract_x
_atom_site_fract_y
_atom_site_fract_z
Np1 Np 0.250 0.250 0.250
Mn1 Mn 0.000 0.000 0.000
Ga1 Ga 0.000 0.000 0.284
Ga2 Ga 0.000 0.250 0.500

# 5
# Pm3Pu2Ge7 (GGA-PBE, relaxed)
# Total magnetization = 21.7 μB per cell
# ΔH_f (0 K) = -352 meV/atom
data_Pm3Pu2Ge7
_chemical_formula_sum 'Pm6 Pu4 Ge14'
_symmetry_space_group_name_H-M 'C m m m'
_symmetry_Int_Tables_number 65
_symmetry_space_group_name_Hall '-C 2 2'
_cell_length_a 4.676
_cell_length_b 22.091
_cell_length_c 5.740
_cell_angle_alpha 90.00
_cell_angle_beta 90.00
_cell_angle_gamma 90.00
loop_
_atom_site_label
_atom_site_type_symbol
_atom_site_fract_x
_atom_site_fract_y
_atom_site_fract_z
Pm1 Pm 0.000 0.000 0.000
Pm2 Pm 0.000 0.178 0.000
Pu1 Pu 0.000 0.365 0.500
Ge1 Ge 0.000 0.060 0.500
Ge2 Ge 0.000 0.226 0.500
Ge3 Ge 0.000 0.404 0.000
Ge4 Ge 0.000 0.500 0.500

# 6
# Mg5Se4S (GGA-PBE, relaxed)
# Uncorrected formation energy = -1.273 eV per atom
# Total magnetization = 0.0 μB per cell
data_Mg5Se4S
_chemical_formula_sum 'Mg10 Se8 S2'
_symmetry_space_group_name_H-M 'I m m m'
_symmetry_Int_Tables_number 71
_symmetry_space_group_name_Hall '-I 2 2'
_cell_length_a 3.852
_cell_length_b 5.455
_cell_length_c 19.306
_cell_angle_alpha 90.00
_cell_angle_beta 90.00
_cell_angle_gamma 90.00
loop_
_atom_site_label
_atom_site_type_symbol
_atom_site_fract_x
_atom_site_fract_y
_atom_site_fract_z
Mg1 Mg 0.000 0.000 0.000
Mg2 Mg 0.000 0.000 0.202
Mg3 Mg 0.000 0.000 0.406
Se1 Se 0.000 0.500 0.198
Se2 Se 0.000 0.500 0.401
S1 S 0.000 0.500 0.000